Density functional theory data (PBE) for Zn2SiAgAu4 after structural relaxation. Values from VASP.

Cell and atoms, written as Quantum ESPRESSO input:
```
&SYSTEM
  ibrav = 0, nat = 8, ntyp = 4
/
ATOMIC_SPECIES
Si 28.09 Si.upf
Au 196.97 Au.upf
Ag 107.87 Ag.upf
Zn 65.41 Zn.upf
ATOMIC_POSITIONS angstrom
Si 4.504 2.600 3.888
Au 6.756 3.901 3.084
Au 4.504 2.600 6.445
Au 2.252 1.300 4.691
Au 4.504 2.600 1.330
Ag 0.000 0.000 0.000
Zn 6.756 3.901 6.294
Zn 2.252 1.300 1.482
CELL_PARAMETERS angstrom
4.504 0.000 0.000
2.252 3.901 0.000
2.252 1.300 7.775
```

Properties
Density of states at the Fermi level (states/eV/f.u.): 2.056
Formation energy without anion corrections (kJ/mol of formula units): -39
Mass density (g/cm3): 12.82
Space-group type: No. 166
Total moment (μB/atom): 0.000



Density functional theory data (PBE) for LaTa2BeTl after structural relaxation. Values from VASP.

Cell and atoms, written as Quantum ESPRESSO input:
```
&SYSTEM
  ibrav = 0, nat = 5, ntyp = 4
/
ATOMIC_SPECIES
Ta 180.95 Ta.upf
Tl 204.38 Tl.upf
La 138.91 La.upf
Be 9.01 Be.upf
ATOMIC_POSITIONS angstrom
Ta -1.153 2.265 -0.212
Ta 1.153 0.787 2.135
Tl -1.808 2.251 3.194
La 0.000 0.000 0.000
Be -1.808 -0.801 1.272
CELL_PARAMETERS angstrom
-2.307 4.530 -0.424
-3.615 -1.603 2.543
2.306 1.574 4.269
```

Properties
Density of states at the Fermi level (states/eV/f.u.): 5.279
Uncorrected energy (eV/atom): -4.780
Mass density (g/cm3): 9.69
Space-group type: No. 123
Total moment (μB/atom): 0.000



Density functional theory data (PBE) for K4RbHgO after structural relaxation. Values from VASP.

Cell and atoms, written as Quantum ESPRESSO input:
```
&SYSTEM
  ibrav = 0, nat = 14, ntyp = 4
/
ATOMIC_SPECIES
K 39.10 K.upf
Hg 200.59 Hg.upf
O 16.00 O.upf
Rb 85.47 Rb.upf
ATOMIC_POSITIONS angstrom
K -3.745 7.347 -2.190
K -5.826 5.652 -4.579
K -6.811 10.233 -4.618
K -4.289 3.973 -0.638
K -6.267 13.607 -6.171
K -4.729 11.927 -2.230
K -8.980 13.048 -3.408
K -1.576 4.532 -3.400
Hg -8.355 7.395 -6.710
Hg -2.201 10.184 -0.099
O -3.987 4.962 -2.912
O -6.569 12.618 -3.897
Rb -0.250 6.990 1.170
Rb -10.306 10.589 -7.979
CELL_PARAMETERS angstrom
-1.493 4.953 -8.181
-9.051 3.394 -0.486
-0.012 9.233 1.858
```

Properties
Density of states at the Fermi level (states/eV/f.u.): 5.559
Formation energy without anion corrections (kJ/mol of formula units): -315
Mass density (g/cm3): 2.03
Space-group type: No. 12
Total moment (μB/atom): 0.000



Question: mass density of number 1 (Zn2SiAgAu4)?
Answer: 12.82 g/cm3